1.
VASP calculation (PBE) on an optimized crystal structure of NaScCdTe3.

The calculation puts the total energy at -3.8469 eV per atom. The magnetic moment is 0.00 μB per formula unit. The crystal system is orthorhombic.

Lattice parameters (Å, degrees): 11.5945 4.2676 14.4897 90.00 90.00 90.00
Last column: nearest neighbours and their distance in Å.
Space group Pnma (No. 62)
One atom of each set of equivalent atoms:
Na: 0.2150 0.2500 0.0168 [4 per cell]  7 Te 3.32-3.57, 2 Cd 3.65
Sc: 0.0033 0.7500 0.7382 [4 per cell]  5 Te 2.96-2.99
Cd: 0.2444 0.7500 0.2202 [4 per cell]  4 Te 2.77-2.82
Te: 0.0343 0.7500 0.1216 [4 per cell]  1 Cd 2.82, 2 Sc 2.98
Te: 0.0647 0.2500 0.6057 [4 per cell]  1 Cd 2.77, 2 Sc 2.96
Te: 0.2312 0.2500 0.3469 [4 per cell]  2 Cd 2.82, 1 Sc 2.99

2.
VASP calculation (PBE) on an optimized crystal structure of NaScCdTe3.

The calculation puts the total energy at -3.8479 eV per atom. The magnetic moment is 0.00 μB per formula unit. The crystal system is orthorhombic.

Lattice parameters (Å, degrees): 4.2486 14.7978 11.3916 90.00 90.00 90.00
Last column: nearest neighbours and their distance in Å.
Space group Cmcm (No. 63)
One atom of each set of equivalent atoms:
Na: 0.0000 0.2324 0.2500 [4 per cell]  6 Te 3.36-3.45, 2 Cd 3.63
Sc: 0.0000 0.0000 0.0000 [4 per cell]  6 Te 2.98-3.15
Cd: 0.0000 0.4669 0.7500 [4 per cell]  4 Te 2.78-2.81
Te: 0.0000 0.0915 0.7500 [4 per cell]  2 Cd 2.81
Te: 0.0000 0.3636 0.5462 [8 per cell]  1 Cd 2.78, 2 Sc 2.98

3.
VASP calculation (PBE) on an optimized crystal structure of Na6CdSe4.

The calculation puts the total energy at -3.0603 eV per atom. The crystal system is hexagonal.

Lattice parameters (Å, degrees): 9.5457 9.5457 7.2403 90.00 90.00 120.00
Last column: nearest neighbours and their distance in Å.
Space group P6_3mc (No. 186)
One atom of each set of equivalent atoms:
Na: 0.0619 0.5310 0.0000 [6 per cell]  3 Se 2.91-3.07
Na: 0.1489 0.2978 0.6655 [6 per cell]  4 Se 2.84-3.10
Cd: 0.3333 0.6667 0.3749 [2 per cell]  4 Se 2.66-2.68
Se: 0.1800 0.3600 0.2631 [6 per cell]  1 Cd 2.66, 3 Na 2.84-2.96
Se: 0.3333 0.6667 0.7448 [2 per cell]  1 Cd 2.68, 3 Na 2.91

Please write out number 3 again, unchanged.
VASP calculation (PBE) on an optimized crystal structure of Na6CdSe4.

The calculation puts the total energy at -3.0603 eV per atom. The crystal system is hexagonal.

Lattice parameters (Å, degrees): 9.5457 9.5457 7.2403 90.00 90.00 120.00
Last column: nearest neighbours and their distance in Å.
Space group P6_3mc (No. 186)
One atom of each set of equivalent atoms:
Na: 0.0619 0.5310 0.0000 [6 per cell]  3 Se 2.91-3.07
Na: 0.1489 0.2978 0.6655 [6 per cell]  4 Se 2.84-3.10
Cd: 0.3333 0.6667 0.3749 [2 per cell]  4 Se 2.66-2.68
Se: 0.1800 0.3600 0.2631 [6 per cell]  1 Cd 2.66, 3 Na 2.84-2.96
Se: 0.3333 0.6667 0.7448 [2 per cell]  1 Cd 2.68, 3 Na 2.91